Record 1
Material: NaZrN2O
Method: DFT, PBE
State: relaxed

Cell: 4.394 4.394 4.157 Å, 90.00 90.00 90.00°
Site moments in Bohr magnetons follow the coordinates.
Atoms (fractional coordinates):
1 Na 0.500 0.500 0.500  0.00
2 O 0.000 0.000 0.500  0.32
3 Zr 0.000 0.000 0.000  -0.12
4 N 0.000 0.500 0.000  0.92
5 N 0.500 0.000 0.000  0.92

Computed properties:
The value obtained for the uncorrected formation energy is -0.458 eV/atom. As for the space-group type: P4/mmm, No. 123. Its size of the total moment is 3.009 μB per formula unit. The calculation puts the calculated volume at 80.2 Å³/cell. Its raw total energy is -6.754 eV/atom.

---

Record 2
Material: Ba3PmSb2O9
Method: DFT, PBE
State: relaxed

Cell: 6.100 6.100 7.474 Å, 90.00 90.00 120.00°
Atoms (fractional coordinates):
1 Ba 0.333 0.667 0.678
2 Ba 0.000 0.000 0.000
3 Ba 0.667 0.333 0.322
4 Pm 0.000 0.000 0.500
5 Sb 0.333 0.667 0.166
6 Sb 0.667 0.333 0.834
7 O 0.824 0.176 0.681
8 O 0.824 0.647 0.681
9 O 0.353 0.176 0.681
10 O 0.647 0.824 0.319
11 O 0.176 0.353 0.319
12 O 0.176 0.824 0.319
13 O 0.500 0.000 0.000
14 O 0.000 0.500 0.000
15 O 0.500 0.500 0.000

Computed properties:
The value obtained for the uncorrected formation energy is -2.382 eV/atom. As for the space-group type: P-3m1, No. 164. Its size of the total moment is 0.000 μB per formula unit. The calculation puts the calculated volume at 240.8 Å³/cell. Its raw total energy is -6.607 eV/atom.

---

Record 3
Material: CaThCuSi
Method: DFT, PBE
State: relaxed

Cell: 5.058 5.058 5.058 Å, 60.00 60.00 60.00°
Atoms (fractional coordinates):
1 Ca 0.500 0.500 0.500
2 Si 0.750 0.750 0.750
3 Cu 0.250 0.250 0.250
4 Th 0.000 0.000 0.000

Computed properties:
The value obtained for the uncorrected formation energy is -0.239 eV/atom. As for the space-group type: F-43m, No. 216. Its size of the total moment is 0.000 μB per formula unit. The calculation puts the calculated volume at 91.5 Å³/cell. Its raw total energy is -4.974 eV/atom.

---

Record 4
Material: YCu5S4
Method: DFT, PBE
State: relaxed

Cell: 3.835 6.958 7.414 Å, 117.99 104.99 90.00°
Atoms (fractional coordinates):
1 Y 0.500 0.000 0.000
2 Cu 0.819 0.020 0.639
3 Cu 0.819 0.619 0.639
4 Cu 0.181 0.381 0.361
5 Cu 0.181 0.980 0.361
6 Cu 0.500 0.500 0.000
7 S 0.000 0.720 0.000
8 S 0.275 0.775 0.551
9 S 0.725 0.225 0.449
10 S 0.000 0.280 0.000

Computed properties:
The value obtained for the uncorrected formation energy is -0.555 eV/atom. As for the space-group type: Immm, No. 71. Its size of the total moment is 0.000 μB per formula unit. The calculation puts the calculated volume at 167.0 Å³/cell. Its raw total energy is -4.901 eV/atom.

---

Record 5
Material: PrDyRu4
Method: DFT, PBE
State: relaxed

Cell: 5.391 5.391 5.391 Å, 60.00 60.00 60.00°
Atoms (fractional coordinates):
1 Pr 0.250 0.250 0.250
2 Ru 0.625 0.625 0.124
3 Ru 0.625 0.124 0.625
4 Ru 0.625 0.625 0.625
5 Ru 0.124 0.625 0.625
6 Dy 0.000 0.000 0.000

Computed properties:
As for the space-group type: F-43m, No. 216. Its size of the total moment is 0.000 μB per formula unit. The calculation puts the calculated volume at 110.8 Å³/cell. Its raw total energy is -7.938 eV/atom. The formation enthalpy at 0 K is -190 meV/atom.

---

Record 6
Material: NaCdSi
Method: DFT, PBE
State: relaxed

Cell: 3.713 4.614 8.395 Å, 74.05 90.00 90.00°
Atoms (fractional coordinates):
1 Na 0.250 0.096 0.808
2 Na 0.750 0.904 0.192
3 Si 0.250 0.458 0.084
4 Si 0.750 0.542 0.916
5 Cd 0.750 0.710 0.580
6 Cd 0.250 0.290 0.420

Computed properties:
The value obtained for the uncorrected formation energy is -0.011 eV/atom. As for the space-group type: Cmcm, No. 63. Its size of the total moment is 0.000 μB per formula unit. The calculation puts the calculated volume at 138.3 Å³/cell. Its raw total energy is -2.563 eV/atom.

---

Record 7
Material: TiAlBiN2
Method: DFT, PBE
State: relaxed

Cell: 4.329 5.529 4.329 Å, 90.00 90.00 90.00°
Site moments in Bohr magnetons follow the coordinates.
Atoms (fractional coordinates):
1 N 0.000 0.000 0.500  0.33
2 N 0.500 0.000 0.000  0.32
3 Al 0.500 0.500 0.500  0.00
4 Bi 0.000 0.000 0.000  -0.01
5 Ti 0.000 0.500 0.000  0.74

Computed properties:
The value obtained for the uncorrected formation energy is 1.879 eV/atom. As for the space-group type: P4/mmm, No. 123. Its size of the total moment is 1.812 μB per formula unit. The calculation puts the calculated volume at 103.6 Å³/cell. Its raw total energy is -4.555 eV/atom.

---

Record 8
Material: Tl2H4Pt
Method: DFT, PBE
State: relaxed

Cell: 5.581 5.381 7.787 Å, 90.00 112.65 90.00°
Atoms (fractional coordinates):
1 Tl 0.295 0.250 0.100
2 Tl 0.705 0.750 0.900
3 Tl 0.246 0.750 0.426
4 Tl 0.754 0.250 0.574
5 H 0.832 0.557 0.216
6 H 0.680 0.250 0.984
7 H 0.320 0.750 0.016
8 H 0.832 0.943 0.216
9 H 0.930 0.750 0.569
10 H 0.168 0.057 0.784
11 H 0.168 0.443 0.784
12 H 0.070 0.250 0.431
13 Pt 0.858 0.250 0.211
14 Pt 0.142 0.750 0.789

Computed properties:
As for the space-group type: P2_1/m, No. 11. Its size of the total moment is 0.000 μB per formula unit. The calculation puts the calculated volume at 215.8 Å³/cell. Its raw total energy is -3.483 eV/atom.

---

Record 9
Material: Hf2CoSn2
Method: DFT, PBE
State: relaxed

Cell: 6.643 6.643 4.542 Å, 90.00 90.00 90.00°
Atoms (fractional coordinates):
1 Co 0.000 0.000 0.000
2 Co 0.500 0.500 0.000
3 Hf 0.163 0.663 0.500
4 Hf 0.663 0.837 0.500
5 Hf 0.837 0.337 0.500
6 Hf 0.337 0.163 0.500
7 Sn 0.349 0.849 0.000
8 Sn 0.849 0.651 0.000
9 Sn 0.651 0.151 0.000
10 Sn 0.151 0.349 0.000

Computed properties:
As for the space-group type: P4/mbm, No. 127. Its size of the total moment is 0.000 μB per formula unit. The calculation puts the calculated volume at 200.4 Å³/cell. Its raw total energy is -7.148 eV/atom. The formation enthalpy at 0 K is -144 meV/atom.

---

Record 10
Material: NaLa2In
Method: DFT, PBE
State: relaxed

Cell: 3.830 3.830 9.254 Å, 90.00 90.00 90.00°
Atoms (fractional coordinates):
1 Na 0.500 0.500 0.500
2 In 0.500 0.500 0.000
3 La 0.000 0.000 0.784
4 La 0.000 0.000 0.216

Computed properties:
As for the space-group type: P4/mmm, No. 123. Its size of the total moment is 0.000 μB per formula unit. The calculation puts the calculated volume at 135.8 Å³/cell. Its raw total energy is -3.634 eV/atom. The formation enthalpy at 0 K is -156 meV/atom.

---

Record 11
Material: BaLaZrN3
Method: DFT, PBE
State: relaxed

Cell: 3.825 6.377 9.068 Å, 102.59 90.00 90.00°
Atoms (fractional coordinates):
1 Ba 0.750 0.639 0.687
2 Ba 0.250 0.361 0.313
3 La 0.250 0.758 0.042
4 La 0.750 0.242 0.958
5 Zr 0.250 0.121 0.646
6 Zr 0.750 0.879 0.354
7 N 0.250 0.815 0.447
8 N 0.750 0.046 0.176
9 N 0.750 0.581 0.163
10 N 0.750 0.185 0.553
11 N 0.250 0.419 0.837
12 N 0.250 0.954 0.824

Computed properties:
The value obtained for the uncorrected formation energy is -1.221 eV/atom. As for the space-group type: P2_1/m, No. 11. Its size of the total moment is 0.000 μB per formula unit. The calculation puts the calculated volume at 215.9 Å³/cell. Its raw total energy is -7.951 eV/atom.

---

Record 12
Material: Er2VP
Method: DFT, PBE
State: relaxed

Cell: 3.632 3.632 9.354 Å, 78.81 78.81 60.00°
Site moments in Bohr magnetons follow the coordinates.
Atoms (fractional coordinates):
1 P 0.500 0.500 0.500  -0.01
2 V 0.000 0.000 0.000  -2.78
3 Er 0.106 0.106 0.682  0.02
4 Er 0.894 0.894 0.318  0.02

Computed properties:
As for the space-group type: R-3m, No. 166. Its size of the total moment is 3.223 μB per formula unit. The calculation puts the calculated volume at 104.1 Å³/cell. Its raw total energy is -5.902 eV/atom. The formation enthalpy at 0 K is 12 meV/atom.

---

Question: Number 9 is which compound?
Answer: Hf2CoSn2

---

Question: Number 12 is which compound?
Answer: Er2VP

---

Question: Among the records above, which one has the highest calculated volume?
Answer: Ba3PmSb2O9

---

Copy entry 4 word for word.
Material: YCu5S4
Method: DFT, PBE
State: relaxed

Cell: 3.835 6.958 7.414 Å, 117.99 104.99 90.00°
Atoms (fractional coordinates):
1 Y 0.500 0.000 0.000
2 Cu 0.819 0.020 0.639
3 Cu 0.819 0.619 0.639
4 Cu 0.181 0.381 0.361
5 Cu 0.181 0.980 0.361
6 Cu 0.500 0.500 0.000
7 S 0.000 0.720 0.000
8 S 0.275 0.775 0.551
9 S 0.725 0.225 0.449
10 S 0.000 0.280 0.000

Computed properties:
The value obtained for the uncorrected formation energy is -0.555 eV/atom. As for the space-group type: Immm, No. 71. Its size of the total moment is 0.000 μB per formula unit. The calculation puts the calculated volume at 167.0 Å³/cell. Its raw total energy is -4.901 eV/atom.